A plane-wave DFT calculation with PBE was carried out for a relaxed structure of LiMg4Pd.

Lattice parameters (Å, degrees): 8.326 4.776 7.047 90.00 113.92 90.00
Space group C2/m (No. 12)
Unique sites:
Li: 0.000 0.000 0.000
Mg: 0.129 0.500 0.891
Mg: 0.204 0.000 0.609
Pd: 0.000 0.500 0.500

Values from the calculation:
As for the energy above the most stable polymorph in this dataset: 84.7 meV/atom. Its density of states at the Fermi level is 0.40 states/eV per atom. As for the energy relative to the elements: -0.17 eV/atom.



A plane-wave DFT calculation with PBE was carried out for a relaxed structure of VCd2H.

Lattice parameters (Å, degrees): 7.306 7.306 4.930 90.00 90.00 90.00
Space group I-42d (No. 122)
Unique sites:
V: 0.000 0.000 0.000
Cd: 0.166 0.750 0.625
H: 0.000 0.000 0.500

Values from the calculation:
As for the energy above the most stable polymorph in this dataset: 0.0 meV/atom. Its density of states at the Fermi level is 0.96 states/eV per atom.